(1)
Entry from Alexandria: a relaxed structure of Nb2VPt (GGA-PBE). Values from VASP.

Properties
For the total moment, the calculation gives 0.00 μB/cell. The crystal system is trigonal. Its space-group type is No. 166.

Quantum ESPRESSO input file:
```
&SYSTEM
  ibrav = 0, nat = 4, ntyp = 3
/
ATOMIC_SPECIES
Nb 92.91 Nb.upf
Pt 195.08 Pt.upf
V 50.94 V.upf
CELL_PARAMETERS angstrom
3.0095 0.0000 0.0000
1.5048 2.6063 0.0000
1.5048 0.8688 8.6042
ATOMIC_POSITIONS crystal
Nb 0.2537 0.2537 0.2388
Nb 0.7463 0.7463 0.7612
Pt 0.5000 0.5000 0.5000
V 0.0000 0.0000 0.0000
```

(2)
Entry from Alexandria: a relaxed structure of NbV4Pt5 (GGA-PBE). Values from VASP.

Properties
For the total moment, the calculation gives 0.00 μB/cell. The crystal system is tetragonal. Its space-group type is No. 123.

Quantum ESPRESSO input file:
```
&SYSTEM
  ibrav = 0, nat = 10, ntyp = 3
/
ATOMIC_SPECIES
Nb 92.91 Nb.upf
V 50.94 V.upf
Pt 195.08 Pt.upf
CELL_PARAMETERS angstrom
-0.9914 -1.0894 2.3000
2.5402 -0.5745 0.8227
1.1271 17.6515 8.8465
ATOMIC_POSITIONS crystal
Nb 0.0000 0.0000 0.0000
V 0.0000 0.0000 0.2056
V 0.0000 0.0000 0.4018
V 0.0000 0.0000 0.5982
V 0.0000 0.0000 0.7944
Pt 0.5000 0.5000 0.1095
Pt 0.5000 0.5000 0.3041
Pt 0.5000 0.5000 0.5000
Pt 0.5000 0.5000 0.6959
Pt 0.5000 0.5000 0.8905
```

(3)
Entry from Alexandria: a relaxed structure of Nb3VPt (GGA-PBE). Values from VASP.

Properties
For the total moment, the calculation gives 0.00 μB/cell. The crystal system is cubic. Its space-group type is No. 221.

Quantum ESPRESSO input file:
```
&SYSTEM
  ibrav = 0, nat = 5, ntyp = 3
/
ATOMIC_SPECIES
Nb 92.91 Nb.upf
Pt 195.08 Pt.upf
V 50.94 V.upf
CELL_PARAMETERS angstrom
-4.0152 -0.4688 -2.1417
1.8782 -3.0407 -2.8557
-1.1309 -3.3857 2.8612
ATOMIC_POSITIONS crystal
Nb 0.0000 0.5000 0.0000
Nb 0.0000 0.0000 0.5000
Nb 0.5000 0.0000 0.0000
Pt 0.5000 0.5000 0.5000
V 0.0000 0.0000 0.0000
```

| no. | density of states at the Fermi level (states/eV/cell) | formation energy (meV per atom) |
| --- | --- | --- |
| 1 | 4.86 | 11 |
| 2 | 6.08 | -574 |
| 3 | 7.10 | 842 |